## UTe5Rh3 (PBE)

Data for a relaxed structure of UTe5Rh3.

The magnetic moment comes out at 1.79 μB per formula unit. As for the density of states at the Fermi level: 1.3156 states/eV/atom. As for the space group: C2/m (12). The calculation puts the formation energy from raw total energies at -0.2693 eV per atom.

```
data_UTe5Rh3
_chemical_formula_sum 'U2 Te10 Rh6'
_cell_length_a 7.8100
_cell_length_b 7.8100
_cell_length_c 9.1931
_cell_angle_alpha 109.37
_cell_angle_beta 109.37
_cell_angle_gamma 67.67
_space_group_name_H-M_alt 'P 1'
_space_group_IT_number 1
loop_
_space_group_symop_operation_xyz
'x,y,z'
loop_
_atom_site_label
_atom_site_fract_x
_atom_site_fract_y
_atom_site_fract_z
U1 0.1256 0.1256 0.3308
U2 0.8744 0.8744 0.6692
Te1 0.0188 0.6320 0.3621
Te2 0.2148 0.2148 0.0267
Te3 0.3039 0.6961 0.0000
Te4 0.3680 0.9812 0.6379
Te5 0.4466 0.4466 0.6560
Te6 0.5534 0.5534 0.3440
Te7 0.6320 0.0188 0.3621
Te8 0.6961 0.3039 0.0000
Te9 0.7852 0.7852 0.9733
Te10 0.9812 0.3680 0.6379
Rh1 0.0000 0.0000 0.0000
Rh2 0.0000 0.0000 0.5000
Rh3 0.3216 0.3216 0.3404
Rh4 0.3263 0.3263 0.8387
Rh5 0.6737 0.6737 0.1613
Rh6 0.6784 0.6784 0.6596
```